# Ac2ScGa4Pt3 PBE optimized geometry
# Density of states at the Fermi level (states/eV per atom): 0.87
# ΔH_f (0 K) (eV per atom): -0.886
# DFT total energy (eV per atom): -5.3639
# Mass density (Mg/m³): 10.5
data_Ac2ScGa4Pt3
_cell_length_a 4.347
_cell_length_b 4.347
_cell_length_c 11.439
_cell_angle_alpha 90.00
_cell_angle_beta 90.00
_cell_angle_gamma 90.00
_symmetry_space_group_name_H-M 'P -4 m 2'
_symmetry_Int_Tables_number 115
_symmetry_space_group_name_Hall 'P -4 -2'
loop_
_atom_site_label
_atom_site_fract_x
_atom_site_fract_y
_atom_site_fract_z
Ac1 0.000 0.500 0.237
Sc1 0.000 0.000 0.500
Ga1 0.000 0.000 0.000
Ga2 0.000 0.500 0.649
Ga3 0.500 0.500 0.000
Pt1 0.000 0.500 0.874
Pt2 0.500 0.500 0.500